(1)
HoUOsRh | GGA-PBE | optimized geometry

Properties
Density = 14.6 g/cm3
Symmetry = No. 216
Magnetic moment = 1.9 Bohr magnetons per cell
ΔE_f = -7.6 kcal/mol of atoms
Raw total energy = -35.757 eV for the cell shown

abc: 4.815 4.815 4.815
angles: 60.00 60.00 60.00
Site moments in Bohr magnetons follow the coordinates.
Fractional coordinates of all 4 atoms:
Os  0.500  0.500  0.500  -0.19
U  0.750  0.750  0.750  1.92
Ho  0.250  0.250  0.250  0.10
Rh  0.000  0.000  0.000  -0.15

---

(2)
Na2TcCl4O2 | GGA-PBE | optimized geometry

Properties
Density = 2.2 g/cm3
Symmetry = No. 12
Magnetic moment = 1.0 Bohr magnetons per cell
Raw total energy = -41.500 eV for the cell shown

abc: 6.237 7.532 7.532
angles: 56.78 59.73 59.73
Site moments in Bohr magnetons follow the coordinates.
Fractional coordinates of all 9 atoms:
Na  0.271  0.770  0.770  0.00
Na  0.729  0.230  0.230  0.00
Tc  0.500  0.000  0.000  0.80
Cl  0.380  0.674  0.149  0.04
Cl  0.620  0.851  0.326  0.04
Cl  0.620  0.326  0.851  0.04
Cl  0.380  0.149  0.674  0.04
O  0.174  0.133  0.133  -0.04
O  0.826  0.867  0.867  -0.04

---

(3)
CdTe3H | GGA-PBE | optimized geometry

Properties
Density = 4.5 g/cm3
Symmetry = No. 221
Magnetic moment = 1.3 Bohr magnetons per cell
Raw total energy = -9.064 eV for the cell shown

abc: 5.660 5.660 5.660
angles: 90.00 90.00 90.00
Site moments in Bohr magnetons follow the coordinates.
Fractional coordinates of all 5 atoms:
H  0.500  0.500  0.500  0.37
Te  0.000  0.500  0.000  0.06
Te  0.000  0.000  0.500  0.06
Te  0.500  0.000  0.000  0.05
Cd  0.000  0.000  0.000  0.01